Entry 1:
Density functional theory data (PBE) for a relaxed structure of SmYMgPt.

Summary:
The value obtained for the density of states at the Fermi level is 2.76 states/eV/f.u. The calculation puts the total energy at -21.077 eV per cell. The crystal system is cubic. For the size of the total moment, the calculation gives 0.00 Bohr magnetons per cell.

a = 5.1449 Å, b = 5.1449 Å, c = 5.1449 Å
α = 60.00°, β = 60.00°, γ = 60.00°
Last column: nearest neighbours and their distance in Å.
Fractional coordinates of all 4 atoms:
Sm 0.0000 0.0000 0.0000  4 Mg 3.15, 4 Pt 3.15
Y 0.5000 0.5000 0.5000  4 Mg 3.15, 4 Pt 3.15
Mg 0.2500 0.2500 0.2500  4 Sm 3.15, 4 Y 3.15
Pt 0.7500 0.7500 0.7500  4 Sm 3.15, 4 Y 3.15

***

Entry 2:
Density functional theory data (PBE) for a relaxed structure of InPbC3.

Summary:
The value obtained for the density of states at the Fermi level is 4.00 states/eV/f.u. The crystal system is cubic. The calculation puts the offset from the most stable computed form at 316 meV/atom. For the size of the total moment, the calculation gives 2.93 Bohr magnetons per cell.

a = 4.5408 Å, b = 4.5408 Å, c = 4.5408 Å
α = 90.00°, β = 90.00°, γ = 90.00°
Last column: nearest neighbours and their distance in Å.
Fractional coordinates of all 5 atoms:
In 0.0000 0.0000 0.0000  12 C 3.21
Pb 0.5000 0.5000 0.5000  6 C 2.27
C 0.0000 0.5000 0.5000  2 Pb 2.27
C 0.5000 0.0000 0.5000  2 Pb 2.27
C 0.5000 0.5000 0.0000  2 Pb 2.27

***

Entry 3:
Density functional theory data (PBE) for a relaxed structure of CsCaSbH2.

Summary:
The value obtained for the density of states at the Fermi level is 0.00 states/eV/f.u. The crystal system is triclinic. The calculation puts the offset from the most stable computed form at 75 meV/atom. For the size of the total moment, the calculation gives 0.00 Bohr magnetons per cell.

a = 4.5345 Å, b = 5.0539 Å, c = 8.2604 Å
α = 72.91°, β = 75.17°, γ = 66.62°
Last column: nearest neighbours and their distance in Å.
Fractional coordinates of all 5 atoms:
Cs 0.0000 0.0000 0.0000  4 H 3.09-3.22
Ca 0.8033 0.7910 0.5598  2 H 2.15-2.35
Sb 0.1974 0.2495 0.3866  1 H 1.77
H 0.7177 0.6953 0.8358  1 Ca 2.15
H 0.8562 0.2031 0.3474  1 Sb 1.77

***

Entry 4:
Density functional theory data (PBE) for a relaxed structure of U4TiRh12.

Summary:
The value obtained for the density of states at the Fermi level is 19.39 states/eV/f.u. The calculation puts the total energy at -150.631 eV per cell. The crystal system is cubic. For the size of the total moment, the calculation gives 2.10 Bohr magnetons per cell.

a = 7.1711 Å, b = 7.1711 Å, c = 7.1711 Å
α = 109.47°, β = 109.47°, γ = 109.47°
Last column: nearest neighbours and their distance in Å.
Fractional coordinates of all 17 atoms:
U 0.0000 0.0000 0.5000  12 Rh 2.93-2.94
U 0.0000 0.5000 0.0000  12 Rh 2.93-2.94
U 0.5000 0.0000 0.0000  12 Rh 2.93-2.94
U 0.5000 0.5000 0.5000  12 Rh 2.93-2.94
Ti 0.0000 0.0000 0.0000  6 Rh 2.39
Rh 0.0000 0.2885 0.2885  1 Ti 2.39
Rh 0.0000 0.7115 0.7115  1 Ti 2.39
Rh 0.2500 0.5000 0.7500  8 Rh 2.71-2.93, 4 U 2.93
Rh 0.2500 0.7500 0.5000  8 Rh 2.71-2.93, 4 U 2.93
Rh 0.2885 0.0000 0.2885  1 Ti 2.39
Rh 0.2885 0.2885 0.0000  1 Ti 2.39
Rh 0.5000 0.2500 0.7500  8 Rh 2.71-2.93, 4 U 2.93
Rh 0.5000 0.7500 0.2500  8 Rh 2.71-2.93, 4 U 2.93
Rh 0.7115 0.0000 0.7115  1 Ti 2.39
Rh 0.7115 0.7115 0.0000  1 Ti 2.39
Rh 0.7500 0.2500 0.5000  8 Rh 2.71-2.93, 4 U 2.93
Rh 0.7500 0.5000 0.2500  8 Rh 2.71-2.93, 4 U 2.93

***

Entry 5:
Density functional theory data (PBE) for a relaxed structure of NiBiP3.

Summary:
The value obtained for the density of states at the Fermi level is 2.18 states/eV/f.u. The crystal system is orthorhombic. The calculation puts the offset from the most stable computed form at 49 meV/atom. For the size of the total moment, the calculation gives 0.00 Bohr magnetons per cell.

a = 7.2679 Å, b = 4.2506 Å, c = 4.2506 Å
α = 48.82°, β = 90.00°, γ = 90.00°
Last column: nearest neighbours and their distance in Å.
Fractional coordinates of all 5 atoms:
Ni 0.0000 0.0000 0.0000  7 P 2.25-2.39
Bi 0.5000 0.2461 0.2461  2 P 2.73
P 0.0000 0.2909 0.2909  2 P 2.18, 3 Ni 2.25-2.39
P 0.2206 0.4820 0.4820  1 P 2.18, 2 Ni 2.38
P 0.7794 0.4820 0.4820  1 P 2.18, 2 Ni 2.38

***

Entry 6:
Density functional theory data (PBE) for a relaxed structure of YZrBi.

Summary:
The value obtained for the density of states at the Fermi level is 3.79 states/eV/f.u. The calculation puts the total energy at -77.717 eV per cell. The crystal system is monoclinic. For the size of the total moment, the calculation gives 0.02 Bohr magnetons per cell.

a = 9.8326 Å, b = 9.8326 Å, c = 9.4740 Å
α = 94.40°, β = 94.40°, γ = 23.70°
Last column: nearest neighbours and their distance in Å.
Fractional coordinates of all 12 atoms:
Y 0.0373 0.0373 0.3331  2 Bi 3.00-3.09
Y 0.3996 0.3996 0.1489  4 Bi 3.17-3.19, 2 Zr 3.42
Y 0.6004 0.6004 0.8511  4 Bi 3.17-3.19, 2 Zr 3.42
Y 0.9627 0.9627 0.6669  2 Bi 3.00-3.09
Zr 0.2420 0.2420 0.3740  4 Bi 3.09-3.14, 4 Zr 3.11-3.12
Zr 0.2440 0.2440 0.8724  4 Bi 3.05-3.14, 4 Zr 3.11-3.14, 2 Y 3.42
Zr 0.7560 0.7560 0.1276  4 Bi 3.05-3.14, 4 Zr 3.11-3.14, 2 Y 3.42
Zr 0.7580 0.7580 0.6260  4 Bi 3.09-3.14, 4 Zr 3.11-3.12
Bi 0.1358 0.1358 0.6066  4 Y 3.09-3.42, 4 Zr 3.09-3.14
Bi 0.1367 0.1367 0.1040  3 Y 3.00-3.17, 4 Zr 3.05-3.14
Bi 0.8633 0.8633 0.8960  3 Y 3.00-3.17, 4 Zr 3.05-3.14
Bi 0.8642 0.8642 0.3934  4 Y 3.09-3.42, 4 Zr 3.09-3.14

***

Entry 7:
Density functional theory data (PBE) for a relaxed structure of Pm3Pb5.

Summary:
The value obtained for the density of states at the Fermi level is 4.41 states/eV/f.u. The crystal system is orthorhombic. The calculation puts the offset from the most stable computed form at 0 meV/atom. For the size of the total moment, the calculation gives 0.00 Bohr magnetons per cell.

a = 7.0760 Å, b = 7.0760 Å, c = 4.7919 Å
α = 90.00°, β = 90.00°, γ = 95.85°
Last column: nearest neighbours and their distance in Å.
Fractional coordinates of all 8 atoms:
Pm 0.0000 0.0000 0.0000  8 Pb 3.24-3.54
Pm 0.2803 0.7197 0.5000  10 Pb 3.33-3.67
Pm 0.7197 0.2803 0.5000  10 Pb 3.33-3.67
Pb 0.0000 0.5000 0.0000  6 Pm 3.39-3.54, 6 Pb 3.54-3.56
Pb 0.2305 0.2305 0.5000  4 Pm 3.24-3.44, 6 Pb 3.50-3.56
Pb 0.5000 0.0000 0.0000  6 Pm 3.39-3.54, 6 Pb 3.54-3.56
Pb 0.5000 0.5000 0.0000  4 Pm 3.33, 8 Pb 3.50-3.54
Pb 0.7695 0.7695 0.5000  4 Pm 3.24-3.44, 6 Pb 3.50-3.56

***

Entry 8:
Density functional theory data (PBE) for a relaxed structure of AcPmUN3.

Summary:
The uncorrected formation energy is -997 meV/atom. The value obtained for the density of states at the Fermi level is 1.86 states/eV/f.u. The crystal system is monoclinic. For the size of the total moment, the calculation gives 0.00 Bohr magnetons per cell.

a = 7.7971 Å, b = 3.7599 Å, c = 8.7657 Å
α = 90.00°, β = 99.47°, γ = 90.00°
Last column: nearest neighbours and their distance in Å.
Fractional coordinates of all 12 atoms:
Ac 0.1752 0.2500 0.1475  5 N 2.61-2.90
Ac 0.8248 0.7500 0.8525  5 N 2.61-2.90
Pm 0.3752 0.7500 0.8466  4 N 2.37-2.55
Pm 0.6248 0.2500 0.1534  4 N 2.37-2.55
U 0.0631 0.2500 0.5954  4 N 2.16-2.41
U 0.9369 0.7500 0.4046  4 N 2.16-2.41
N 0.1062 0.2500 0.8449  1 U 2.16
N 0.2073 0.7500 0.5832  3 U 2.20-2.41, 1 Pm 2.46
N 0.3999 0.7500 0.1203  3 Pm 2.37-2.55, 2 Ac 2.61
N 0.6001 0.2500 0.8797  3 Pm 2.37-2.55, 2 Ac 2.61
N 0.7927 0.2500 0.4168  3 U 2.20-2.41, 1 Pm 2.46
N 0.8938 0.7500 0.1551  1 U 2.16

***

Entry 9:
Density functional theory data (PBE) for a relaxed structure of SrBr5.

Summary:
The uncorrected formation energy is -669 meV/atom. The value obtained for the density of states at the Fermi level is 5.17 states/eV/f.u. The crystal system is hexagonal. The calculation puts the offset from the most stable computed form at 280 meV/atom. For the size of the total moment, the calculation gives 0.00 Bohr magnetons per cell.

a = 5.5141 Å, b = 5.5141 Å, c = 7.1213 Å
α = 90.00°, β = 90.00°, γ = 120.00°
Last column: nearest neighbours and their distance in Å.
Fractional coordinates of all 6 atoms:
Sr 0.0000 0.0000 0.0000  6 Br 3.18
Br 0.0000 0.6780 0.5000  6 Br 3.08-3.24
Br 0.3220 0.3220 0.5000  6 Br 3.08-3.24
Br 0.3333 0.6667 0.0000  3 Sr 3.18, 3 Br 3.18
Br 0.6667 0.3333 0.0000  3 Sr 3.18, 3 Br 3.18
Br 0.6780 0.0000 0.5000  6 Br 3.08-3.24

***

Entry 10:
Density functional theory data (PBE) for a relaxed structure of Na10B13C7.

Summary:
The value obtained for the density of states at the Fermi level is 7.06 states/eV/f.u. The crystal system is triclinic. The calculation puts the offset from the most stable computed form at 35 meV/atom. For the size of the total moment, the calculation gives 0.00 Bohr magnetons per cell.

a = 5.0140 Å, b = 7.5949 Å, c = 8.9915 Å
α = 72.48°, β = 89.99°, γ = 70.73°
Last column: nearest neighbours and their distance in Å.
Fractional coordinates of all 30 atoms:
Na 0.0000 0.0000 0.0000  7 B 2.65-2.74, 5 C 2.68-2.71, 6 Na 2.87-2.89
Na 0.0979 0.8015 0.4983  7 B 2.64-2.73, 5 C 2.68-2.71, 6 Na 2.86-2.90
Na 0.1994 0.5995 0.0017  8 B 2.68-2.74, 4 C 2.69-2.72, 6 Na 2.87-2.90
Na 0.2981 0.4021 0.4961  8 B 2.68-2.75, 4 C 2.69-2.73, 6 Na 2.86-2.90
Na 0.3994 0.1995 0.0018  8 B 2.68-2.74, 4 C 2.69-2.72, 6 Na 2.87-2.90
Na 0.4990 0.0023 0.4965  8 B 2.67-2.76, 4 C 2.69-2.73, 6 Na 2.86-2.90
Na 0.5998 0.8004 0.9999  7 B 2.65-2.74, 5 C 2.68-2.71, 6 Na 2.87-2.89
Na 0.7004 0.5994 0.5000  8 B 2.66-2.77, 4 C 2.69-2.71, 6 Na 2.87-2.90
Na 0.8010 0.4000 0.0003  9 B 2.64-2.80, 3 C 2.70-2.73, 6 Na 2.87-2.90
Na 0.9006 0.2009 0.4961  8 B 2.63-2.77, 4 C 2.68-2.73, 6 Na 2.86-2.90
B 0.0290 0.2988 0.7490  2 C 1.62-1.65, 1 B 1.71
B 0.1649 0.3007 0.2490  2 C 1.63, 1 B 1.77
B 0.2015 0.9092 0.7497  2 C 1.62-1.64, 1 B 1.75
B 0.3825 0.9009 0.2491  3 C 1.61-1.69
B 0.3941 0.5006 0.7481  1 C 1.55
B 0.4870 0.7016 0.7487  3 B 1.71-1.75
B 0.5171 0.3006 0.2492  3 B 1.73-1.77
B 0.5794 0.5122 0.2488  2 C 1.62-1.66, 1 B 1.73
B 0.6104 0.0912 0.7499  2 C 1.61-1.63, 1 B 1.75
B 0.6882 0.2994 0.7492  3 B 1.71-1.75
B 0.7908 0.0893 0.2493  2 C 1.62-1.66, 1 B 1.73
B 0.8273 0.7020 0.7489  2 C 1.62-1.65, 1 B 1.71
B 0.9827 0.7003 0.2490  3 C 1.62-1.69
C 0.0851 0.5009 0.7479  3 B 1.55-1.65
C 0.1172 0.0981 0.2492  3 B 1.63-1.66
C 0.2842 0.1001 0.7499  3 B 1.61-1.64
C 0.3175 0.7065 0.2487  3 B 1.61-1.69
C 0.7233 0.8949 0.2493  3 B 1.62-1.69
C 0.8841 0.9003 0.7498  3 B 1.62-1.63
C 0.9147 0.5032 0.2489  3 B 1.63-1.66

***

Entry 11:
Density functional theory data (PBE) for a relaxed structure of SnH.

Summary:
The value obtained for the density of states at the Fermi level is 0.39 states/eV/f.u. The crystal system is monoclinic. The calculation puts the offset from the most stable computed form at 25 meV/atom. For the size of the total moment, the calculation gives 0.00 Bohr magnetons per cell.

a = 8.9551 Å, b = 8.9551 Å, c = 3.1568 Å
α = 97.17°, β = 97.17°, γ = 155.08°
Last column: nearest neighbours and their distance in Å.
Fractional coordinates of all 4 atoms:
Sn 0.1797 0.8203 0.0000  6 Sn 3.13-3.28, 2 H 3.37-3.38
Sn 0.8203 0.1797 0.0000  6 Sn 3.13-3.28, 2 H 3.37-3.38
H 0.4715 0.5147 0.9784  1 H 0.75
H 0.5147 0.4715 0.9784  1 H 0.75

***

Please write out number 6 again, unchanged.
Density functional theory data (PBE) for a relaxed structure of YZrBi.

Summary:
The value obtained for the density of states at the Fermi level is 3.79 states/eV/f.u. The calculation puts the total energy at -77.717 eV per cell. The crystal system is monoclinic. For the size of the total moment, the calculation gives 0.02 Bohr magnetons per cell.

a = 9.8326 Å, b = 9.8326 Å, c = 9.4740 Å
α = 94.40°, β = 94.40°, γ = 23.70°
Last column: nearest neighbours and their distance in Å.
Fractional coordinates of all 12 atoms:
Y 0.0373 0.0373 0.3331  2 Bi 3.00-3.09
Y 0.3996 0.3996 0.1489  4 Bi 3.17-3.19, 2 Zr 3.42
Y 0.6004 0.6004 0.8511  4 Bi 3.17-3.19, 2 Zr 3.42
Y 0.9627 0.9627 0.6669  2 Bi 3.00-3.09
Zr 0.2420 0.2420 0.3740  4 Bi 3.09-3.14, 4 Zr 3.11-3.12
Zr 0.2440 0.2440 0.8724  4 Bi 3.05-3.14, 4 Zr 3.11-3.14, 2 Y 3.42
Zr 0.7560 0.7560 0.1276  4 Bi 3.05-3.14, 4 Zr 3.11-3.14, 2 Y 3.42
Zr 0.7580 0.7580 0.6260  4 Bi 3.09-3.14, 4 Zr 3.11-3.12
Bi 0.1358 0.1358 0.6066  4 Y 3.09-3.42, 4 Zr 3.09-3.14
Bi 0.1367 0.1367 0.1040  3 Y 3.00-3.17, 4 Zr 3.05-3.14
Bi 0.8633 0.8633 0.8960  3 Y 3.00-3.17, 4 Zr 3.05-3.14
Bi 0.8642 0.8642 0.3934  4 Y 3.09-3.42, 4 Zr 3.09-3.14